# 1
Ni3H6Rh: relaxed, GGA-PBE.

a = 4.478 Å, b = 5.446 Å, c = 5.446 Å
α = 101.70°, β = 90.00°, γ = 90.00°
Positions (direct):
Ni1 0.469 0.894 0.695
Ni2 0.969 0.695 0.894
Ni3 0.405 0.403 0.597
Ni4 0.905 0.597 0.403
Ni5 0.969 0.106 0.305
Ni6 0.469 0.305 0.106
H1 0.187 0.678 0.634
H2 0.687 0.634 0.678
H3 0.210 0.446 0.903
H4 0.710 0.903 0.446
H5 0.283 0.014 0.986
H6 0.595 0.222 0.778
H7 0.095 0.778 0.222
H8 0.783 0.986 0.014
H9 0.210 0.097 0.554
H10 0.710 0.554 0.097
H11 0.187 0.366 0.322
H12 0.687 0.322 0.366
Rh1 0.970 0.180 0.820
Rh2 0.470 0.820 0.180

## Properties
The calculation puts the energy above the most stable polymorph in this dataset at 27 meV/atom. Its space-group type is No. 36.



# 2
NiHRh2: relaxed, GGA-PBE.

a = 2.742 Å, b = 2.742 Å, c = 6.752 Å
α = 78.28°, β = 78.28°, γ = 60.00°
Positions (direct):
Ni1 0.500 0.500 0.499
H1 0.667 0.667 0.000
Rh1 0.061 0.061 0.816
Rh2 0.272 0.272 0.185

## Properties
The calculation puts the energy above the most stable polymorph in this dataset at 1 meV/atom. Its space-group type is No. 160.



# 3
Ni2HRh: relaxed, GGA-PBE.

a = 5.532 Å, b = 5.532 Å, c = 4.710 Å
α = 54.04°, β = 54.04°, γ = 90.00°
Positions (direct):
Ni1 0.507 0.125 0.250
Ni2 0.243 0.625 0.250
Ni3 0.375 0.493 0.750
Ni4 0.875 0.757 0.750
Rh1 0.000 0.000 0.000
Rh2 0.750 0.250 0.500
H1 0.500 0.500 0.000
H2 0.250 0.750 0.500

## Properties
The calculation puts the energy above the most stable polymorph in this dataset at 181 meV/atom. Its space-group type is No. 122.



# 4
NiHRh2: relaxed, GGA-PBE.

a = 2.738 Å, b = 2.738 Å, c = 6.760 Å
α = 78.31°, β = 78.31°, γ = 60.00°
Positions (direct):
Ni1 0.500 0.500 0.500
Rh1 0.271 0.271 0.186
Rh2 0.729 0.729 0.814
H1 0.000 0.000 0.000

## Properties
The calculation puts the energy above the most stable polymorph in this dataset at 0 meV/atom. Its space-group type is No. 166.



# 5
Ni2HRh: relaxed, GGA-PBE.

a = 2.556 Å, b = 2.556 Å, c = 6.153 Å
α = 90.00°, β = 90.00°, γ = 90.00°
Positions (direct):
Ni1 0.000 0.000 0.808
Ni2 0.000 0.000 0.192
Rh1 0.500 0.500 0.500
H1 0.500 0.500 0.000

## Properties
The calculation puts the energy above the most stable polymorph in this dataset at 235 meV/atom. Its space-group type is No. 123.



# 6
NiH2Rh2: relaxed, GGA-PBE.

a = 2.926 Å, b = 2.926 Å, c = 5.797 Å
α = 75.38°, β = 75.38°, γ = 90.00°
Positions (direct):
Ni1 0.000 0.000 0.000
Rh1 0.356 0.356 0.288
Rh2 0.644 0.644 0.712
H1 0.750 0.250 0.500
H2 0.250 0.750 0.500

## Properties
The calculation puts the energy above the most stable polymorph in this dataset at 0 meV/atom. Its space-group type is No. 139.



# 7
Ni2HRh: relaxed, GGA-PBE.

a = 2.652 Å, b = 2.652 Å, c = 6.518 Å
α = 78.32°, β = 78.32°, γ = 60.00°
Positions (direct):
Ni1 0.055 0.055 0.835
Ni2 0.278 0.278 0.166
H1 0.667 0.667 0.000
Rh1 0.501 0.501 0.499

## Properties
The calculation puts the energy above the most stable polymorph in this dataset at 0 meV/atom. Its space-group type is No. 160.



# 8
Ni4HRh: relaxed, GGA-PBE.

a = 4.461 Å, b = 4.943 Å, c = 6.800 Å
α = 60.57°, β = 70.85°, γ = 90.00°
Positions (direct):
Ni1 0.481 0.747 0.200
Ni2 0.681 0.753 0.800
Ni3 0.519 0.253 0.800
Ni4 0.319 0.247 0.200
Ni5 0.883 0.747 0.403
Ni6 0.286 0.753 0.597
Ni7 0.117 0.253 0.597
Ni8 0.714 0.247 0.403
H1 0.500 0.500 0.500
H2 0.000 0.000 0.500
Rh1 0.909 0.250 0.000
Rh2 0.091 0.750 0.000

## Properties
Its space-group type is No. 15.



# 9
Ni2HRuRh: relaxed, GGA-PBE.

a = 3.769 Å, b = 3.769 Å, c = 3.708 Å
α = 90.00°, β = 90.00°, γ = 90.00°
Positions (direct):
Ru1 0.500 0.500 0.500
Rh1 0.000 0.000 0.500
H1 0.000 0.000 0.000
Ni1 0.000 0.500 0.000
Ni2 0.500 0.000 0.000

## Properties
The calculation puts the energy above the most stable polymorph in this dataset at 35 meV/atom. Its space-group type is No. 123.



# 10
Ni2HRuRh: relaxed, GGA-PBE.

a = 3.774 Å, b = 3.774 Å, c = 3.693 Å
α = 90.00°, β = 90.00°, γ = 90.00°
Positions (direct):
Ru1 0.000 0.000 0.500
Rh1 0.500 0.500 0.500
H1 0.000 0.000 0.000
Ni1 0.000 0.500 0.000
Ni2 0.500 0.000 0.000

## Properties
The calculation puts the energy above the most stable polymorph in this dataset at 0 meV/atom. Its space-group type is No. 123.



# 11
Ni2SbHRh: relaxed, GGA-PBE.

a = 3.877 Å, b = 3.877 Å, c = 3.859 Å
α = 90.00°, β = 90.00°, γ = 90.00°
Positions (direct):
Sb1 0.500 0.500 0.500
Rh1 0.000 0.000 0.500
H1 0.000 0.000 0.000
Ni1 0.000 0.500 0.000
Ni2 0.500 0.000 0.000

## Properties
Its space-group type is No. 123.



# 12
Sc2NiHRh: relaxed, GGA-PBE.

a = 4.517 Å, b = 4.517 Å, c = 3.446 Å
α = 90.00°, β = 90.00°, γ = 90.00°
Positions (direct):
Sc1 0.000 0.500 0.000
Sc2 0.500 0.000 0.000
Ni1 0.500 0.500 0.500
Rh1 0.000 0.000 0.500
H1 0.000 0.000 0.000

## Properties
The calculation puts the energy above the most stable polymorph in this dataset at 89 meV/atom. Its space-group type is No. 123.



# 13
Sc2NiHRh: relaxed, GGA-PBE.

a = 4.528 Å, b = 4.528 Å, c = 3.326 Å
α = 90.00°, β = 90.00°, γ = 90.00°
Positions (direct):
Sc1 0.000 0.500 0.000
Sc2 0.500 0.000 0.000
Ni1 0.000 0.000 0.500
Rh1 0.500 0.500 0.500
H1 0.000 0.000 0.000

## Properties
The calculation puts the energy above the most stable polymorph in this dataset at 0 meV/atom. Its space-group type is No. 123.



# 14
ScNi2HRh: relaxed, GGA-PBE.

a = 3.792 Å, b = 3.792 Å, c = 3.935 Å
α = 90.00°, β = 90.00°, γ = 90.00°
Positions (direct):
Sc1 0.500 0.500 0.500
Ni1 0.000 0.500 0.000
Ni2 0.500 0.000 0.000
Rh1 0.000 0.000 0.500
H1 0.000 0.000 0.000

## Properties
The calculation puts the energy above the most stable polymorph in this dataset at 0 meV/atom. Its space-group type is No. 123.



# 15
ScNi2HRh: relaxed, GGA-PBE.

a = 3.702 Å, b = 3.702 Å, c = 4.126 Å
α = 90.00°, β = 90.00°, γ = 90.00°
Positions (direct):
Sc1 0.000 0.000 0.500
Ni1 0.000 0.500 0.000
Ni2 0.500 0.000 0.000
Rh1 0.500 0.500 0.500
H1 0.000 0.000 0.000

## Properties
The calculation puts the energy above the most stable polymorph in this dataset at 36 meV/atom. Its space-group type is No. 123.



# 16
Sc2NiHRh6: relaxed, GGA-PBE.

a = 5.481 Å, b = 6.717 Å, c = 5.234 Å
α = 67.71°, β = 58.40°, γ = 89.99°
Positions (direct):
Sc1 0.767 0.344 0.467
Sc2 0.233 0.656 0.533
Ni1 0.500 0.500 0.000
H1 0.000 0.000 0.000
Rh1 0.206 0.241 0.589
Rh2 0.818 0.854 0.845
Rh3 0.337 0.854 0.845
Rh4 0.663 0.146 0.155
Rh5 0.182 0.146 0.155
Rh6 0.794 0.759 0.411

## Properties
Its space-group type is No. 12.



# 17
Ni2HRhSe: relaxed, GGA-PBE.

a = 3.813 Å, b = 3.813 Å, c = 3.855 Å
α = 90.00°, β = 90.00°, γ = 90.00°
Positions (direct):
Ni1 0.000 0.500 0.000
Ni2 0.500 0.000 0.000
Rh1 0.000 0.000 0.500
Se1 0.500 0.500 0.500
H1 0.000 0.000 0.000

## Properties
Its space-group type is No. 123.



# 18
SiNiHRh2: relaxed, GGA-PBE.

a = 3.898 Å, b = 3.898 Å, c = 3.535 Å
α = 90.00°, β = 90.00°, γ = 90.00°
Positions (direct):
Ni1 0.000 0.000 0.500
Si1 0.500 0.500 0.500
Rh1 0.000 0.500 0.000
Rh2 0.500 0.000 0.000
H1 0.000 0.000 0.000

## Properties
Its space-group type is No. 123.



# 19
Sm2NiH12Rh3: relaxed, GGA-PBE.

a = 5.918 Å, b = 5.918 Å, c = 5.918 Å
α = 62.86°, β = 62.86°, γ = 62.86°
Positions (direct):
Sm1 0.633 0.633 0.633
Sm2 0.367 0.367 0.367
Ni1 0.000 0.000 0.000
H1 0.349 0.349 0.925
H2 0.910 0.910 0.325
H3 0.325 0.910 0.910
H4 0.925 0.349 0.349
H5 0.910 0.325 0.910
H6 0.349 0.925 0.349
H7 0.651 0.651 0.075
H8 0.090 0.090 0.675
H9 0.675 0.090 0.090
H10 0.075 0.651 0.651
H11 0.090 0.675 0.090
H12 0.651 0.075 0.651
Rh1 0.500 0.000 0.000
Rh2 0.000 0.500 0.000
Rh3 0.000 0.000 0.500

## Properties
Its space-group type is No. 166.



# 20
NiSnHRh2: relaxed, GGA-PBE.

a = 4.026 Å, b = 4.026 Å, c = 3.786 Å
α = 90.00°, β = 90.00°, γ = 90.00°
Positions (direct):
Ni1 0.000 0.000 0.500
Rh1 0.000 0.500 0.000
Rh2 0.500 0.000 0.000
Sn1 0.500 0.500 0.500
H1 0.000 0.000 0.000

## Properties
Its space-group type is No. 123.



# 21
Ni2SnHRh: relaxed, GGA-PBE.

a = 3.853 Å, b = 3.853 Å, c = 3.889 Å
α = 90.00°, β = 90.00°, γ = 90.00°
Positions (direct):
Ni1 0.000 0.500 0.000
Ni2 0.500 0.000 0.000
Rh1 0.000 0.000 0.500
Sn1 0.500 0.500 0.500
H1 0.000 0.000 0.000

## Properties
Its space-group type is No. 123.



# 22
Ni12Sn4H3Rh: relaxed, GGA-PBE.

a = 6.807 Å, b = 6.807 Å, c = 6.807 Å
α = 109.47°, β = 109.47°, γ = 109.47°
Positions (direct):
Ni1 0.250 0.500 0.750
Ni2 0.701 0.000 0.701
Ni3 0.299 0.000 0.299
Ni4 0.750 0.500 0.250
Ni5 0.701 0.701 0.000
Ni6 0.299 0.299 0.000
Ni7 0.750 0.250 0.500
Ni8 0.250 0.750 0.500
Ni9 0.500 0.250 0.750
Ni10 0.000 0.701 0.701
Ni11 0.500 0.750 0.250
Ni12 0.000 0.299 0.299
Sn1 0.500 0.500 0.500
Sn2 0.000 0.000 0.500
Sn3 0.500 0.000 0.000
Sn4 0.000 0.500 0.000
H1 0.500 0.000 0.500
H2 0.500 0.500 0.000
H3 0.000 0.500 0.500
Rh1 0.000 0.000 0.000

## Properties
Its space-group type is No. 229.



# 23
SrNiH8Rh2: relaxed, GGA-PBE.

a = 4.636 Å, b = 4.636 Å, c = 6.468 Å
α = 69.00°, β = 69.00°, γ = 60.00°
Positions (direct):
Sr1 0.500 0.500 0.500
Ni1 0.000 0.000 0.000
H1 0.203 0.203 0.392
H2 0.654 0.283 0.144
H3 0.797 0.797 0.608
H4 0.919 0.654 0.144
H5 0.081 0.346 0.856
H6 0.283 0.919 0.144
H7 0.717 0.081 0.856
H8 0.346 0.717 0.856
Rh1 0.296 0.296 0.112
Rh2 0.704 0.704 0.888

## Properties
Its space-group type is No. 148.



# 24
SrNiH6Rh: relaxed, GGA-PBE.

a = 4.745 Å, b = 4.747 Å, c = 4.575 Å
α = 89.99°, β = 90.02°, γ = 59.81°
Positions (direct):
Sr1 0.000 0.000 0.000
Ni1 0.334 0.334 0.500
H1 0.009 0.448 0.286
H2 0.448 0.010 0.714
H3 0.539 0.451 0.717
H4 0.008 0.545 0.713
H5 0.451 0.539 0.283
H6 0.544 0.008 0.286
Rh1 0.665 0.666 0.500

## Properties
Its space-group type is No. 5.



# 25
TaNi2HRh: relaxed, GGA-PBE.

a = 3.718 Å, b = 3.718 Å, c = 4.034 Å
α = 90.00°, β = 90.00°, γ = 90.00°
Positions (direct):
Ni1 0.000 0.500 0.000
Ni2 0.500 0.000 0.000
Rh1 0.500 0.500 0.500
H1 0.000 0.000 0.000
Ta1 0.000 0.000 0.500

## Properties
The calculation puts the energy above the most stable polymorph in this dataset at 0 meV/atom. Its space-group type is No. 123.



Uncorrected energy list, top to bottom, in eV/f.u.: -44.45; -23.52; -21.47; -23.52; -21.25; -26.84; -22.19; -33.67; -30.80; -30.97; -27.26; -32.18; -32.63; -30.94; -30.76; -69.17; -25.23; -31.03; -82.37; -29.26; -27.58; -102.33; -51.55; -37.47; -35.41